# GGA-PBE BaMnSe3, relaxed
data_BaMnSe3
_chemical_formula_sum 'Ba2 Mn2 Se6'
_cell_length_a 4.251
_cell_length_b 10.516
_cell_length_c 7.403
_cell_angle_alpha 90.00
_cell_angle_beta 106.67
_cell_angle_gamma 90.00
_space_group_name_H-M_alt 'P 1 21/m 1'
_space_group_IT_number 11
loop_
_space_group_symop_operation_xyz
'x,y,z'
'-x,-y,-z'
'-x,y+1/2,-z'
'x,-y+1/2,z'
loop_
_atom_site_label
_atom_site_type_symbol
_atom_site_fract_x
_atom_site_fract_y
_atom_site_fract_z
_atom_site_occupancy
Ba1 Ba 0.186 0.250 0.370 1
Mn1 Mn 0.086 0.750 0.173 1
Se1 Se 0.187 0.576 0.375 1
Se2 Se 0.498 0.250 0.995 1
# E ... -5.18 eV per atom
# Uncorrected formation energy ... -0.870 eV per atom



# GGA-PBE BaMnSe3, relaxed
data_BaMnSe3
_chemical_formula_sum 'Ba4 Mn4 Se12'
_cell_length_a 8.453
_cell_length_b 6.254
_cell_length_c 13.461
_cell_angle_alpha 90.00
_cell_angle_beta 125.91
_cell_angle_gamma 90.00
_space_group_name_H-M_alt 'P 1 21/c 1'
_space_group_IT_number 14
loop_
_space_group_symop_operation_xyz
'x,y,z'
'-x,-y,-z'
'-x,y+1/2,-z+1/2'
'x,-y+1/2,z+1/2'
loop_
_atom_site_label
_atom_site_type_symbol
_atom_site_fract_x
_atom_site_fract_y
_atom_site_fract_z
_atom_site_occupancy
Ba1 Ba 0.217 0.240 0.180 1
Mn1 Mn 0.348 0.626 0.468 1
Se1 Se 0.132 0.734 0.275 1
Se2 Se 0.265 0.747 0.094 1
Se3 Se 0.349 0.244 0.973 1
# E ... -5.28 eV per atom
# Uncorrected formation energy ... -0.966 eV per atom



# GGA-PBE BaMnSe3, relaxed
data_BaMnSe3
_chemical_formula_sum 'Ba1 Mn1 Se3'
_cell_length_a 5.034
_cell_length_b 5.034
_cell_length_c 5.034
_cell_angle_alpha 90.00
_cell_angle_beta 90.00
_cell_angle_gamma 90.00
_space_group_name_H-M_alt 'P m -3 m'
_space_group_IT_number 221
_space_group_name_Hall '-P 4 2 3'
loop_
_atom_site_label
_atom_site_type_symbol
_atom_site_fract_x
_atom_site_fract_y
_atom_site_fract_z
_atom_site_occupancy
Ba1 Ba 0.000 0.000 0.000 1
Mn1 Mn 0.500 0.500 0.500 1
Se1 Se 0.000 0.500 0.500 1
# E ... -5.29 eV per atom
# Uncorrected formation energy ... -0.978 eV per atom



# GGA-PBE BaMnSe3, relaxed
data_BaMnSe3
_chemical_formula_sum 'Ba4 Mn4 Se12'
_cell_length_a 9.757
_cell_length_b 8.529
_cell_length_c 7.271
_cell_angle_alpha 90.00
_cell_angle_beta 90.00
_cell_angle_gamma 90.00
_space_group_name_H-M_alt 'C m c m'
_space_group_IT_number 63
_space_group_name_Hall '-C 2c 2'
loop_
_atom_site_label
_atom_site_type_symbol
_atom_site_fract_x
_atom_site_fract_y
_atom_site_fract_z
_atom_site_occupancy
Ba1 Ba 0.000 0.171 0.250 1
Mn1 Mn 0.000 0.328 0.750 1
Se1 Se 0.000 0.500 0.000 1
Se2 Se 0.180 0.161 0.750 1
# E ... -5.21 eV per atom
# Uncorrected formation energy ... -0.904 eV per atom



# GGA-PBE BaMnSe3, relaxed
data_BaMnSe3
_chemical_formula_sum 'Ba3 Mn3 Se9'
_cell_length_a 5.8990
_cell_length_b 5.8990
_cell_length_c 16.7867
_cell_angle_alpha 90.00
_cell_angle_beta 90.00
_cell_angle_gamma 120.00
_space_group_name_H-M_alt 'R -3 m'
_space_group_IT_number 166
_space_group_name_Hall '-R 3 2"'
loop_
_atom_site_label
_atom_site_type_symbol
_atom_site_fract_x
_atom_site_fract_y
_atom_site_fract_z
_atom_site_occupancy
Ba1 Ba 0.0000 0.0000 0.0000 1
Mn1 Mn 0.0000 0.0000 0.5000 1
Se1 Se 0.0000 0.5000 0.5000 1
# E ... -4.63 eV per atom
# Uncorrected formation energy ... -0.316 eV per atom



# GGA-PBE Ba2MnSe, relaxed
data_Ba2MnSe
_chemical_formula_sum 'Ba2 Mn1 Se1'
_cell_length_a 4.117
_cell_length_b 4.117
_cell_length_c 8.054
_cell_angle_alpha 90.00
_cell_angle_beta 90.00
_cell_angle_gamma 90.00
_space_group_name_H-M_alt 'P 4/m m m'
_space_group_IT_number 123
_space_group_name_Hall '-P 4 2'
loop_
_atom_site_label
_atom_site_type_symbol
_atom_site_fract_x
_atom_site_fract_y
_atom_site_fract_z
_atom_site_occupancy
Ba1 Ba 0.000 0.000 0.234 1
Mn1 Mn 0.500 0.500 0.500 1
Se1 Se 0.500 0.500 0.000 1
# E ... -4.61 eV per atom
# Uncorrected formation energy ... -0.488 eV per atom



# GGA-PBE BaMnSe, relaxed
data_BaMnSe
_chemical_formula_sum 'Ba4 Mn4 Se4'
_cell_length_a 7.678
_cell_length_b 7.678
_cell_length_c 7.678
_cell_angle_alpha 90.00
_cell_angle_beta 90.00
_cell_angle_gamma 90.00
_space_group_name_H-M_alt 'F -4 3 m'
_space_group_IT_number 216
_space_group_name_Hall 'F -4 2 3'
loop_
_atom_site_label
_atom_site_type_symbol
_atom_site_fract_x
_atom_site_fract_y
_atom_site_fract_z
_atom_site_occupancy
Ba1 Ba 0.000 0.000 0.000 1
Mn1 Mn 0.250 0.250 0.250 1
Se1 Se 0.250 0.250 0.750 1
# E ... -4.81 eV per atom
# Energy above the most stable polymorph in this dataset ... 604 meV per atom
# Uncorrected formation energy ... 0.049 eV per atom



# GGA-PBE BaMnSe3, relaxed
data_BaMnSe3
_chemical_formula_sum 'Ba6 Mn6 Se18'
_cell_length_a 7.8468
_cell_length_b 7.8468
_cell_length_c 20.4637
_cell_angle_alpha 90.00
_cell_angle_beta 90.00
_cell_angle_gamma 120.00
_space_group_name_H-M_alt 'R -3 c'
_space_group_IT_number 167
_space_group_name_Hall '-R 3 2"c'
loop_
_atom_site_label
_atom_site_type_symbol
_atom_site_fract_x
_atom_site_fract_y
_atom_site_fract_z
_atom_site_occupancy
Ba1 Ba 0.0000 0.0000 0.0000 1
Mn1 Mn 0.0000 0.0000 0.2500 1
Se1 Se 0.0000 0.2861 0.2500 1
# E ... -5.01 eV per atom
# Uncorrected formation energy ... -0.700 eV per atom



# GGA-PBE Ba4MnSe, relaxed
data_Ba4MnSe
_chemical_formula_sum 'Ba16 Mn4 Se4'
_cell_length_a 10.201
_cell_length_b 10.201
_cell_length_c 10.201
_cell_angle_alpha 90.00
_cell_angle_beta 90.00
_cell_angle_gamma 90.00
_space_group_name_H-M_alt 'F -4 3 m'
_space_group_IT_number 216
_space_group_name_Hall 'F -4 2 3'
loop_
_atom_site_label
_atom_site_type_symbol
_atom_site_fract_x
_atom_site_fract_y
_atom_site_fract_z
_atom_site_occupancy
Ba1 Ba 0.125 0.125 0.125 1
Mn1 Mn 0.250 0.250 0.750 1
Se1 Se 0.000 0.000 0.500 1
# E ... -2.91 eV per atom
# Uncorrected formation energy ... 0.478 eV per atom



# GGA-PBE BaMn4Se8, relaxed
data_BaMn4Se8
_chemical_formula_sum 'Ba3 Mn12 Se24'
_cell_length_a 7.2633
_cell_length_b 7.2633
_cell_length_c 23.8256
_cell_angle_alpha 90.00
_cell_angle_beta 90.00
_cell_angle_gamma 120.00
_space_group_name_H-M_alt 'R -3 m'
_space_group_IT_number 166
_space_group_name_Hall '-R 3 2"'
loop_
_atom_site_label
_atom_site_type_symbol
_atom_site_fract_x
_atom_site_fract_y
_atom_site_fract_z
_atom_site_occupancy
Ba1 Ba 0.0000 0.0000 0.0000 1
Mn1 Mn 0.0000 0.0000 0.5000 1
Mn2 Mn 0.0000 0.5000 0.5000 1
Se1 Se 0.0000 0.0000 0.2251 1
Se2 Se 0.0024 0.5012 0.7737 1
# E ... -5.79 eV per atom
# Uncorrected formation energy ... -0.675 eV per atom



# GGA-PBE BaMnSe3, relaxed
data_BaMnSe3
_chemical_formula_sum 'Ba2 Mn2 Se6'
_cell_length_a 6.684
_cell_length_b 6.684
_cell_length_c 5.753
_cell_angle_alpha 90.00
_cell_angle_beta 90.00
_cell_angle_gamma 90.00
_space_group_name_H-M_alt 'P 4/m b m'
_space_group_IT_number 127
_space_group_name_Hall '-P 4 2ab'
loop_
_atom_site_label
_atom_site_type_symbol
_atom_site_fract_x
_atom_site_fract_y
_atom_site_fract_z
_atom_site_occupancy
Ba1 Ba 0.000 0.500 0.000 1
Mn1 Mn 0.000 0.000 0.500 1
Se1 Se 0.000 0.000 0.000 1
Se2 Se 0.169 0.331 0.500 1
# E ... -5.28 eV per atom
# Uncorrected formation energy ... -0.972 eV per atom



# GGA-PBE BaMnSe3, relaxed
data_BaMnSe3
_chemical_formula_sum 'Ba4 Mn4 Se12'
_cell_length_a 5.314
_cell_length_b 5.314
_cell_length_c 22.960
_cell_angle_alpha 90.00
_cell_angle_beta 90.00
_cell_angle_gamma 90.00
_space_group_name_H-M_alt 'I -4 m 2'
_space_group_IT_number 119
_space_group_name_Hall 'I -4 -2'
loop_
_atom_site_label
_atom_site_type_symbol
_atom_site_fract_x
_atom_site_fract_y
_atom_site_fract_z
_atom_site_occupancy
Ba1 Ba 0.000 0.000 0.094 1
Mn1 Mn 0.000 0.000 0.500 1
Mn2 Mn 0.000 0.500 0.250 1
Se1 Se 0.000 0.241 0.339 1
Se2 Se 0.000 0.500 0.507 1
# E ... -5.20 eV per atom
# Uncorrected formation energy ... -0.891 eV per atom



> E of number 11 (BaMnSe3)?

-5.28 eV per atom



> Which of these has the lowest uncorrected formation energy?

number 3



> Which of these has the highest uncorrected formation energy?

Ba4MnSe



> Look up the uncorrected formation energy of the twelfth one.

-0.891 eV per atom